# 1
Compound: Ba4Tl3Hg2
Source: the Alexandria database
Functional: PBE-GGA
Structure: optimized geometry

```
data_Ba4Tl3Hg2
_space_group_name_H-M_alt 'P -3 m 1'
_space_group_IT_number 164
_space_group_name_Hall '-P 3 2"'
_cell_length_a 5.8651
_cell_length_b 5.8651
_cell_length_c 11.2969
_cell_angle_alpha 90.00
_cell_angle_beta 90.00
_cell_angle_gamma 120.00
loop_
_atom_site_label
_atom_site_type_symbol
_atom_site_fract_x
_atom_site_fract_y
_atom_site_fract_z
Ba1 Ba 0.0000 0.0000 0.1717
Ba2 Ba 0.3333 0.6667 0.6085
Tl1 Tl 0.0000 0.0000 0.5000
Tl2 Tl 0.3333 0.6667 0.9786
Hg1 Hg 0.3333 0.6667 0.2929
```

Computed properties:
energy relative to the elements	-0.407	eV/atom
volume	37.387	Å³ per atom



# 2
Compound: Ba2Tl2Hg
Source: the Alexandria database
Functional: PBE-GGA
Structure: optimized geometry

```
data_Ba2Tl2Hg
_space_group_name_H-M_alt 'I 4/m m m'
_space_group_IT_number 139
_space_group_name_Hall '-I 4 2'
_cell_length_a 6.803
_cell_length_b 6.803
_cell_length_c 9.321
_cell_angle_alpha 90.00
_cell_angle_beta 90.00
_cell_angle_gamma 90.00
loop_
_atom_site_label
_atom_site_type_symbol
_atom_site_fract_x
_atom_site_fract_y
_atom_site_fract_z
Ba1 Ba 0.000 0.500 0.250
Tl1 Tl 0.000 0.000 0.153
Hg1 Hg 0.000 0.000 0.500
```

Computed properties:
energy relative to the elements	-0.185	eV/atom
volume	43.142	Å³ per atom
offset from the most stable computed form	0.212	eV per atom



# 3
Compound: Ba2Tl7Hg
Source: the Alexandria database
Functional: PBE-GGA
Structure: optimized geometry

```
data_Ba2Tl7Hg
_space_group_name_H-M_alt 'P -4 m 2'
_space_group_IT_number 115
_cell_length_a 5.244
_cell_length_b 5.244
_cell_length_c 12.544
_cell_angle_alpha 90.00
_cell_angle_beta 90.00
_cell_angle_gamma 90.00
loop_
_space_group_symop_operation_xyz
'x,y,z'
'y,-x,-z'
'-x,-y,z'
'-y,x,-z'
'-x,y,z'
'-y,-x,-z'
'x,-y,z'
'y,x,-z'
loop_
_atom_site_label
_atom_site_type_symbol
_atom_site_fract_x
_atom_site_fract_y
_atom_site_fract_z
Ba1 Ba 0.000 0.500 0.244
Tl1 Tl 0.000 0.000 0.000
Tl2 Tl 0.000 0.000 0.500
Tl3 Tl 0.000 0.500 0.636
Tl4 Tl 0.000 0.500 0.872
Tl5 Tl 0.500 0.500 0.500
Hg1 Hg 0.500 0.500 0.000
```

Computed properties:
energy relative to the elements	-0.229	eV/atom
volume	34.498	Å³ per atom



# 4
Compound: BaTl12Hg7
Source: the Alexandria database
Functional: PBE-GGA
Structure: optimized geometry

```
data_BaTl12Hg7
_space_group_name_H-M_alt 'I m -3'
_space_group_IT_number 204
_space_group_name_Hall '-I 2 2 3'
_cell_length_a 11.326
_cell_length_b 11.326
_cell_length_c 11.326
_cell_angle_alpha 90.00
_cell_angle_beta 90.00
_cell_angle_gamma 90.00
loop_
_atom_site_label
_atom_site_type_symbol
_atom_site_fract_x
_atom_site_fract_y
_atom_site_fract_z
Ba1 Ba 0.000 0.000 0.000
Tl1 Tl 0.000 0.343 0.228
Hg1 Hg 0.000 0.000 0.500
Hg2 Hg 0.250 0.250 0.250
```

Computed properties:
energy relative to the elements	0.080	eV/atom
volume	36.326	Å³ per atom
offset from the most stable computed form	0.125	eV per atom



# 5
Compound: Ba8TlHg2
Source: the Alexandria database
Functional: PBE-GGA
Structure: optimized geometry

```
data_Ba8TlHg2
_space_group_name_H-M_alt 'C 1 2/m 1'
_space_group_IT_number 12
_cell_length_a 21.297
_cell_length_b 6.061
_cell_length_c 8.501
_cell_angle_alpha 90.00
_cell_angle_beta 108.53
_cell_angle_gamma 90.00
loop_
_space_group_symop_operation_xyz
'x,y,z'
'-x,-y,-z'
'-x,y,-z'
'x,-y,z'
'x+1/2,y+1/2,z'
'-x+1/2,-y+1/2,-z'
'-x+1/2,y+1/2,-z'
'x+1/2,-y+1/2,z'
loop_
_atom_site_label
_atom_site_type_symbol
_atom_site_fract_x
_atom_site_fract_y
_atom_site_fract_z
Ba1 Ba 0.035 0.000 0.297
Ba2 Ba 0.094 0.500 0.949
Ba3 Ba 0.171 0.500 0.468
Ba4 Ba 0.201 0.000 0.817
Tl1 Tl 0.000 0.500 0.500
Hg1 Hg 0.185 0.000 0.205
```

Computed properties:
energy relative to the elements	-0.253	eV/atom
volume	47.293	Å³ per atom
offset from the most stable computed form	0.000	eV per atom



# 6
Compound: BaTl12Hg7
Source: the Alexandria database
Functional: PBE-GGA
Structure: optimized geometry

```
data_BaTl12Hg7
_space_group_name_H-M_alt 'R -3'
_space_group_IT_number 148
_space_group_name_Hall '-R 3'
_cell_length_a 14.8357
_cell_length_b 14.8357
_cell_length_c 9.7535
_cell_angle_alpha 90.00
_cell_angle_beta 90.00
_cell_angle_gamma 120.00
loop_
_atom_site_label
_atom_site_type_symbol
_atom_site_fract_x
_atom_site_fract_y
_atom_site_fract_z
Ba1 Ba 0.0000 0.0000 0.0000
Tl1 Tl 0.0193 0.7628 0.0509
Tl2 Tl 0.0751 0.8322 0.4200
Hg1 Hg 0.0000 0.0000 0.5000
Hg2 Hg 0.0578 0.8605 0.7480
```

Computed properties:
energy relative to the elements	-0.045	eV/atom
volume	30.985	Å³ per atom
offset from the most stable computed form	0.000	eV per atom



# 7
Compound: BaTl2Hg2
Source: the Alexandria database
Functional: PBE-GGA
Structure: optimized geometry

```
data_BaTl2Hg2
_space_group_name_H-M_alt 'I 4/m m m'
_space_group_IT_number 139
_space_group_name_Hall '-I 4 2'
_cell_length_a 4.969
_cell_length_b 4.969
_cell_length_c 13.251
_cell_angle_alpha 90.00
_cell_angle_beta 90.00
_cell_angle_gamma 90.00
loop_
_atom_site_label
_atom_site_type_symbol
_atom_site_fract_x
_atom_site_fract_y
_atom_site_fract_z
Ba1 Ba 0.000 0.000 0.000
Tl1 Tl 0.000 0.500 0.250
Hg1 Hg 0.000 0.000 0.391
```

Computed properties:
energy relative to the elements	-0.309	eV/atom
volume	32.719	Å³ per atom



# 8
Compound: Ba3Tl4Hg4
Source: the Alexandria database
Functional: PBE-GGA
Structure: optimized geometry

```
data_Ba3Tl4Hg4
_space_group_name_H-M_alt 'P -1'
_space_group_IT_number 2
_cell_length_a 4.265
_cell_length_b 5.328
_cell_length_c 16.584
_cell_angle_alpha 99.21
_cell_angle_beta 97.37
_cell_angle_gamma 90.05
loop_
_space_group_symop_operation_xyz
'x,y,z'
'-x,-y,-z'
loop_
_atom_site_label
_atom_site_type_symbol
_atom_site_fract_x
_atom_site_fract_y
_atom_site_fract_z
Ba1 Ba 0.000 0.000 0.000
Ba2 Ba 0.144 0.644 0.288
Tl1 Tl 0.257 0.258 0.516
Tl2 Tl 0.407 0.906 0.814
Hg1 Hg 0.315 0.814 0.628
Hg2 Hg 0.453 0.452 0.906
```

Computed properties:
energy relative to the elements	-0.370	eV/atom
volume	33.528	Å³ per atom
offset from the most stable computed form	0.000	eV per atom



# 9
Compound: BaTlHg
Source: the Alexandria database
Functional: PBE-GGA
Structure: optimized geometry

```
data_BaTlHg
_space_group_name_H-M_alt 'P -6 m 2'
_space_group_IT_number 187
_space_group_name_Hall 'P -6 2'
_cell_length_a 5.3348
_cell_length_b 5.3348
_cell_length_c 4.2118
_cell_angle_alpha 90.00
_cell_angle_beta 90.00
_cell_angle_gamma 120.00
loop_
_atom_site_label
_atom_site_type_symbol
_atom_site_fract_x
_atom_site_fract_y
_atom_site_fract_z
Ba1 Ba 0.0000 0.0000 0.0000
Tl1 Tl 0.6667 0.3333 0.5000
Hg1 Hg 0.3333 0.6667 0.5000
```

Computed properties:
energy relative to the elements	-0.427	eV/atom
volume	34.604	Å³ per atom
offset from the most stable computed form	0.012	eV per atom



# 10
Compound: BaTl3Hg8
Source: the Alexandria database
Functional: PBE-GGA
Structure: optimized geometry

```
data_BaTl3Hg8
_space_group_name_H-M_alt 'P 3 m 1'
_space_group_IT_number 156
_cell_length_a 6.2704
_cell_length_b 6.2704
_cell_length_c 10.2625
_cell_angle_alpha 90.00
_cell_angle_beta 90.00
_cell_angle_gamma 120.00
loop_
_space_group_symop_operation_xyz
'x,y,z'
'-y,x-y,z'
'-x+y,-x,z'
'-y,-x,z'
'-x+y,y,z'
'x,x-y,z'
loop_
_atom_site_label
_atom_site_type_symbol
_atom_site_fract_x
_atom_site_fract_y
_atom_site_fract_z
Ba1 Ba 0.0000 0.0000 0.0000
Tl1 Tl 0.0000 0.0000 0.3781
Tl2 Tl 0.6667 0.3333 0.5008
Tl3 Tl 0.6667 0.3333 0.8612
Hg1 Hg 0.1625 0.3251 0.6846
Hg2 Hg 0.3333 0.6667 0.4360
Hg3 Hg 0.3333 0.6667 0.9341
Hg4 Hg 0.5048 0.0096 0.1899
```

Computed properties:
energy relative to the elements	-0.135	eV/atom
volume	29.121	Å³ per atom



# 11
Compound: BaTl3Hg
Source: the Alexandria database
Functional: PBE-GGA
Structure: optimized geometry

```
data_BaTl3Hg
_space_group_name_H-M_alt 'C 1 m 1'
_space_group_IT_number 8
_cell_length_a 7.301
_cell_length_b 7.271
_cell_length_c 7.307
_cell_angle_alpha 90.00
_cell_angle_beta 119.61
_cell_angle_gamma 90.00
loop_
_space_group_symop_operation_xyz
'x,y,z'
'x,-y,z'
'x+1/2,y+1/2,z'
'x+1/2,-y+1/2,z'
loop_
_atom_site_label
_atom_site_type_symbol
_atom_site_fract_x
_atom_site_fract_y
_atom_site_fract_z
Ba1 Ba 0.000 0.000 0.000
Tl1 Tl 0.388 0.000 0.766
Tl2 Tl 0.489 0.255 0.483
Hg1 Hg 0.102 0.500 0.221
```

Computed properties:
energy relative to the elements	-0.275	eV/atom
volume	33.724	Å³ per atom
offset from the most stable computed form	0.000	eV per atom



# 12
Compound: BaTlHg5
Source: the Alexandria database
Functional: PBE-GGA
Structure: optimized geometry

```
data_BaTlHg5
_space_group_name_H-M_alt 'C m m m'
_space_group_IT_number 65
_space_group_name_Hall '-C 2 2'
_cell_length_a 6.353
_cell_length_b 9.942
_cell_length_c 7.281
_cell_angle_alpha 90.00
_cell_angle_beta 90.00
_cell_angle_gamma 90.00
loop_
_atom_site_label
_atom_site_type_symbol
_atom_site_fract_x
_atom_site_fract_y
_atom_site_fract_z
Ba1 Ba 0.000 0.000 0.000
Tl1 Tl 0.000 0.500 0.500
Hg1 Hg 0.000 0.000 0.500
Hg2 Hg 0.250 0.250 0.266
```

Computed properties:
energy relative to the elements	-0.211	eV/atom
volume	32.853	Å³ per atom



# 13
Compound: Ba2TlHg9
Source: the Alexandria database
Functional: PBE-GGA
Structure: optimized geometry

```
data_Ba2TlHg9
_space_group_name_H-M_alt 'R -3 m'
_space_group_IT_number 166
_space_group_name_Hall '-R 3 2"'
_cell_length_a 6.5914
_cell_length_b 6.5914
_cell_length_c 29.0446
_cell_angle_alpha 90.00
_cell_angle_beta 90.00
_cell_angle_gamma 120.00
loop_
_atom_site_label
_atom_site_type_symbol
_atom_site_fract_x
_atom_site_fract_y
_atom_site_fract_z
Ba1 Ba 0.0000 0.0000 0.1343
Tl1 Tl 0.0000 0.0000 0.0000
Hg1 Hg 0.0000 0.0000 0.3367
Hg2 Hg 0.0000 0.0000 0.5000
Hg3 Hg 0.0147 0.5074 0.9155
```

Computed properties:
energy relative to the elements	-0.224	eV/atom
volume	30.356	Å³ per atom



# 14
Compound: BaTl3Hg2
Source: the Alexandria database
Functional: PBE-GGA
Structure: optimized geometry

```
data_BaTl3Hg2
_space_group_name_H-M_alt 'C 1 2/m 1'
_space_group_IT_number 12
_cell_length_a 18.729
_cell_length_b 5.216
_cell_length_c 8.362
_cell_angle_alpha 90.00
_cell_angle_beta 111.66
_cell_angle_gamma 90.00
loop_
_space_group_symop_operation_xyz
'x,y,z'
'-x,-y,-z'
'-x,y,-z'
'x,-y,z'
'x+1/2,y+1/2,z'
'-x+1/2,-y+1/2,-z'
'-x+1/2,y+1/2,-z'
'x+1/2,-y+1/2,z'
loop_
_atom_site_label
_atom_site_type_symbol
_atom_site_fract_x
_atom_site_fract_y
_atom_site_fract_z
Ba1 Ba 0.123 0.000 0.191
Tl1 Tl 0.065 0.000 0.689
Tl2 Tl 0.118 0.500 0.508
Tl3 Tl 0.200 0.500 0.927
Hg1 Hg 0.024 0.500 0.849
Hg2 Hg 0.237 0.000 0.652
```

Computed properties:
energy relative to the elements	-0.254	eV/atom
volume	31.636	Å³ per atom
offset from the most stable computed form	0.000	eV per atom



# 15
Compound: Ba3TlHg
Source: the Alexandria database
Functional: PBE-GGA
Structure: optimized geometry

```
data_Ba3TlHg
_space_group_name_H-M_alt 'P m -3 m'
_space_group_IT_number 221
_space_group_name_Hall '-P 4 2 3'
_cell_length_a 6.545
_cell_length_b 6.545
_cell_length_c 6.545
_cell_angle_alpha 90.00
_cell_angle_beta 90.00
_cell_angle_gamma 90.00
loop_
_atom_site_label
_atom_site_type_symbol
_atom_site_fract_x
_atom_site_fract_y
_atom_site_fract_z
Ba1 Ba 0.000 0.000 0.500
Tl1 Tl 0.500 0.500 0.500
Hg1 Hg 0.000 0.000 0.000
```

Computed properties:
energy relative to the elements	-0.069	eV/atom
volume	56.065	Å³ per atom
offset from the most stable computed form	0.333	eV per atom



# 16
Compound: Ba3Tl7Hg2
Source: the Alexandria database
Functional: PBE-GGA
Structure: optimized geometry

```
data_Ba3Tl7Hg2
_space_group_name_H-M_alt 'P 1 2/m 1'
_space_group_IT_number 10
_cell_length_a 5.196
_cell_length_b 5.038
_cell_length_c 16.054
_cell_angle_alpha 90.00
_cell_angle_beta 99.24
_cell_angle_gamma 90.00
loop_
_space_group_symop_operation_xyz
'x,y,z'
'-x,-y,-z'
'-x,y,-z'
'x,-y,z'
loop_
_atom_site_label
_atom_site_type_symbol
_atom_site_fract_x
_atom_site_fract_y
_atom_site_fract_z
Ba1 Ba 0.000 0.000 0.000
Ba2 Ba 0.325 0.500 0.649
Tl1 Tl 0.076 0.500 0.159
Tl2 Tl 0.227 0.000 0.454
Tl3 Tl 0.422 0.000 0.843
Tl4 Tl 0.500 0.500 0.000
Hg1 Hg 0.135 0.000 0.269
```

Computed properties:
energy relative to the elements	-0.281	eV/atom
volume	34.569	Å³ per atom
offset from the most stable computed form	0.000	eV per atom



# 17
Compound: Ba3TlHg7
Source: the Alexandria database
Functional: PBE-GGA
Structure: optimized geometry

```
data_Ba3TlHg7
_space_group_name_H-M_alt 'C m c m'
_space_group_IT_number 63
_space_group_name_Hall '-C 2c 2'
_cell_length_a 4.667
_cell_length_b 23.144
_cell_length_c 14.123
_cell_angle_alpha 90.00
_cell_angle_beta 90.00
_cell_angle_gamma 90.00
loop_
_atom_site_label
_atom_site_type_symbol
_atom_site_fract_x
_atom_site_fract_y
_atom_site_fract_z
Ba1 Ba 0.000 0.099 0.045
Ba2 Ba 0.000 0.238 0.750
Tl1 Tl 0.000 0.041 0.750
Hg1 Hg 0.000 0.287 0.522
Hg2 Hg 0.000 0.364 0.147
Hg3 Hg 0.000 0.394 0.750
Hg4 Hg 0.000 0.493 0.113
```

Computed properties:
energy relative to the elements	-0.367	eV/atom
volume	34.668	Å³ per atom



# 18
Compound: Ba2TlHg4
Source: the Alexandria database
Functional: PBE-GGA
Structure: optimized geometry

```
data_Ba2TlHg4
_space_group_name_H-M_alt 'I 4/m m m'
_space_group_IT_number 139
_space_group_name_Hall '-I 4 2'
_cell_length_a 5.573
_cell_length_b 5.573
_cell_length_c 18.197
_cell_angle_alpha 90.00
_cell_angle_beta 90.00
_cell_angle_gamma 90.00
loop_
_atom_site_label
_atom_site_type_symbol
_atom_site_fract_x
_atom_site_fract_y
_atom_site_fract_z
Ba1 Ba 0.000 0.000 0.137
Tl1 Tl 0.000 0.000 0.500
Hg1 Hg 0.000 0.000 0.324
Hg2 Hg 0.000 0.500 0.000
```

Computed properties:
energy relative to the elements	-0.189	eV/atom
volume	40.374	Å³ per atom



# 19
Compound: BaTlHg4
Source: the Alexandria database
Functional: PBE-GGA
Structure: optimized geometry

```
data_BaTlHg4
_space_group_name_H-M_alt 'F -4 3 m'
_space_group_IT_number 216
_space_group_name_Hall 'F -4 2 3'
_cell_length_a 8.938
_cell_length_b 8.938
_cell_length_c 8.938
_cell_angle_alpha 90.00
_cell_angle_beta 90.00
_cell_angle_gamma 90.00
loop_
_atom_site_label
_atom_site_type_symbol
_atom_site_fract_x
_atom_site_fract_y
_atom_site_fract_z
Ba1 Ba 0.000 0.000 0.000
Tl1 Tl 0.250 0.250 0.750
Hg1 Hg 0.124 0.124 0.376
```

Computed properties:
energy relative to the elements	-0.275	eV/atom
volume	29.748	Å³ per atom
offset from the most stable computed form	0.000	eV per atom



# 20
Compound: Ba2Tl4Hg9
Source: the Alexandria database
Functional: PBE-GGA
Structure: optimized geometry

```
data_Ba2Tl4Hg9
_space_group_name_H-M_alt 'P -3 m 1'
_space_group_IT_number 164
_space_group_name_Hall '-P 3 2"'
_cell_length_a 5.3258
_cell_length_b 5.3258
_cell_length_c 18.5913
_cell_angle_alpha 90.00
_cell_angle_beta 90.00
_cell_angle_gamma 120.00
loop_
_atom_site_label
_atom_site_type_symbol
_atom_site_fract_x
_atom_site_fract_y
_atom_site_fract_z
Ba1 Ba 0.3333 0.6667 0.2636
Tl1 Tl 0.3333 0.6667 0.6278
Tl2 Tl 0.3333 0.6667 0.8793
Hg1 Hg 0.0000 0.0000 0.0000
Hg2 Hg 0.0000 0.0000 0.1709
Hg3 Hg 0.0000 0.0000 0.3703
Hg4 Hg 0.3333 0.6667 0.0614
Hg5 Hg 0.3333 0.6667 0.4633
```

Computed properties:
energy relative to the elements	-0.190	eV/atom
volume	30.446	Å³ per atom